No. 1
# NdAlNi4 (meta-GGA SCAN, single point on PBEsol structure)
# **DFT formation energy**: -0.4210 eV/atom
# **Volume**: 14.13 Å³/atom
data_NdAlNi4
_chemical_formula_sum 'Nd1 Al1 Ni4'
_cell_length_a 5.0632
_cell_length_b 5.0632
_cell_length_c 3.8196
_cell_angle_alpha 90.00
_cell_angle_beta 90.00
_cell_angle_gamma 120.00
_symmetry_space_group_name_H-M 'P -6 m 2'
_symmetry_Int_Tables_number 187
_symmetry_space_group_name_Hall 'P -6 2'
loop_
_atom_site_label
_atom_site_type_symbol
_atom_site_fract_x
_atom_site_fract_y
_atom_site_fract_z
_atom_site_occupancy
Nd1 Nd 0.0000 0.0000 0.0000 1
Al1 Al 0.6667 0.3333 0.0000 1
Ni1 Ni 0.0055 0.5027 0.5000 1
Ni2 Ni 0.3333 0.6667 0.0000 1


No. 2
# NdAl2Ni (meta-GGA SCAN, single point on PBEsol structure)
# **DFT formation energy**: -0.6547 eV/atom
# **Volume**: 18.53 Å³/atom
data_NdAl2Ni
_chemical_formula_sum 'Nd4 Al8 Ni4'
_cell_length_a 4.031
_cell_length_b 10.739
_cell_length_c 6.848
_cell_angle_alpha 90.00
_cell_angle_beta 90.00
_cell_angle_gamma 90.00
_symmetry_space_group_name_H-M 'C m c m'
_symmetry_Int_Tables_number 63
_symmetry_space_group_name_Hall '-C 2c 2'
loop_
_atom_site_label
_atom_site_type_symbol
_atom_site_fract_x
_atom_site_fract_y
_atom_site_fract_z
_atom_site_occupancy
Nd1 Nd 0.000 0.055 0.250 1
Al1 Al 0.000 0.332 0.056 1
Ni1 Ni 0.000 0.218 0.750 1


No. 3
# NdAlNi4 (meta-GGA SCAN, single point on PBEsol structure)
# **DFT formation energy**: -0.4802 eV/atom
# **Volume**: 14.05 Å³/atom
data_NdAlNi4
_chemical_formula_sum 'Nd2 Al2 Ni8'
_cell_length_a 5.022
_cell_length_b 8.423
_cell_length_c 3.985
_cell_angle_alpha 90.00
_cell_angle_beta 90.00
_cell_angle_gamma 90.00
_symmetry_space_group_name_H-M 'C m m m'
_symmetry_Int_Tables_number 65
_symmetry_space_group_name_Hall '-C 2 2'
loop_
_atom_site_label
_atom_site_type_symbol
_atom_site_fract_x
_atom_site_fract_y
_atom_site_fract_z
_atom_site_occupancy
Nd1 Nd 0.000 0.000 0.000 1
Al1 Al 0.000 0.500 0.500 1
Ni1 Ni 0.000 0.330 0.000 1
Ni2 Ni 0.250 0.250 0.500 1


No. 4
# SrNdAlO4 (meta-GGA SCAN, single point on PBEsol structure)
# **Formation energy without anion corrections**: -3.48 eV/atom
# **Volume**: 12.20 Å³/atom
data_SrNdAlO4
_chemical_formula_sum 'Sr2 Nd2 Al2 O8'
_cell_length_a 3.723
_cell_length_b 3.723
_cell_length_c 12.322
_cell_angle_alpha 90.00
_cell_angle_beta 90.00
_cell_angle_gamma 90.00
_symmetry_space_group_name_H-M 'I 4 m m'
_symmetry_Int_Tables_number 107
_symmetry_space_group_name_Hall 'I 4 -2'
loop_
_atom_site_label
_atom_site_type_symbol
_atom_site_fract_x
_atom_site_fract_y
_atom_site_fract_z
_atom_site_occupancy
Sr1 Sr 0.000 0.000 0.000 1
Nd1 Nd 0.000 0.000 0.285 1
Al1 Al 0.000 0.000 0.640 1
O1 O 0.000 0.000 0.478 1
O2 O 0.000 0.000 0.805 1
O3 O 0.000 0.500 0.150 1


No. 5
# Sr4Nd3Ta2Al5O21 (meta-GGA SCAN, single point on PBEsol structure)
# **Formation energy without anion corrections**: -3.47 eV/atom
# **Volume**: 11.20 Å³/atom
data_Sr4Nd3Ta2Al5O21
_chemical_formula_sum 'Sr12 Nd9 Ta6 Al15 O63'
_cell_length_a 5.4037
_cell_length_b 5.4037
_cell_length_c 46.4919
_cell_angle_alpha 90.00
_cell_angle_beta 90.00
_cell_angle_gamma 120.00
_symmetry_space_group_name_H-M 'R -3 m'
_symmetry_Int_Tables_number 166
_symmetry_space_group_name_Hall '-R 3 2"'
loop_
_atom_site_label
_atom_site_type_symbol
_atom_site_fract_x
_atom_site_fract_y
_atom_site_fract_z
_atom_site_occupancy
Sr1 Sr 0.0000 0.0000 0.0749 1
Sr2 Sr 0.0000 0.0000 0.3574 1
Nd1 Nd 0.0000 0.0000 0.2109 1
Nd2 Nd 0.0000 0.0000 0.5000 1
Ta1 Ta 0.0000 0.0000 0.2847 1
Al1 Al 0.0000 0.0000 0.0000 1
Al2 Al 0.0000 0.0000 0.1429 1
Al3 Al 0.0000 0.0000 0.4312 1
O1 O 0.0000 0.5000 0.5000 1
O2 O 0.0037 0.5019 0.0740 1
O3 O 0.0050 0.5025 0.2122 1
O4 O 0.0067 0.5034 0.6428 1


No. 6
# Sr3NdTaAl3O12 (meta-GGA SCAN, single point on PBEsol structure)
# **Formation energy without anion corrections**: -3.30 eV/atom
# **Polymorph energy (0 for the lowest one)**: 0.000 eV per atom
# **Volume**: 11.27 Å³/atom
data_Sr3NdTaAl3O12
_chemical_formula_sum 'Sr12 Nd4 Ta4 Al12 O48'
_cell_length_a 10.833
_cell_length_b 15.414
_cell_length_c 5.399
_cell_angle_alpha 90.00
_cell_angle_beta 90.06
_cell_angle_gamma 90.00
_symmetry_space_group_name_H-M 'C 1 m 1'
_symmetry_Int_Tables_number 8
_symmetry_space_group_name_Hall 'C -2y'
loop_
_atom_site_label
_atom_site_type_symbol
_atom_site_fract_x
_atom_site_fract_y
_atom_site_fract_z
_atom_site_occupancy
Sr1 Sr 0.000 0.126 0.000 1
Sr2 Sr 0.251 0.136 0.501 1
Sr3 Sr 0.269 0.371 0.499 1
Nd1 Nd 0.015 0.358 0.002 1
Ta1 Ta 0.015 0.500 0.501 1
Ta2 Ta 0.253 0.000 0.998 1
Al1 Al 0.004 0.000 0.503 1
Al2 Al 0.009 0.246 0.501 1
Al3 Al 0.260 0.252 0.000 1
Al4 Al 0.262 0.500 0.005 1
O1 O 0.009 0.124 0.501 1
O2 O 0.009 0.372 0.499 1
O3 O 0.112 0.500 0.805 1
O4 O 0.115 0.000 0.773 1
O5 O 0.130 0.252 0.242 1
O6 O 0.134 0.252 0.751 1
O7 O 0.147 0.000 0.284 1
O8 O 0.156 0.500 0.284 1
O9 O 0.252 0.376 0.000 1
O10 O 0.265 0.127 0.001 1
O11 O 0.359 0.000 0.687 1
O12 O 0.370 0.500 0.734 1
O13 O 0.385 0.248 0.250 1
O14 O 0.389 0.248 0.760 1
O15 O 0.395 0.500 0.232 1
O16 O 0.416 0.000 0.181 1


No. 7
# Sr3NdTaAl3O12 (meta-GGA SCAN, single point on PBEsol structure)
# **Formation energy without anion corrections**: -3.29 eV/atom
# **Polymorph energy (0 for the lowest one)**: 0.009 eV per atom
# **Volume**: 11.29 Å³/atom
data_Sr3NdTaAl3O12
_chemical_formula_sum 'Sr12 Nd4 Ta4 Al12 O48'
_cell_length_a 15.392
_cell_length_b 10.866
_cell_length_c 5.400
_cell_angle_alpha 90.00
_cell_angle_beta 90.12
_cell_angle_gamma 90.00
_symmetry_space_group_name_H-M 'C 1 2 1'
_symmetry_Int_Tables_number 5
_symmetry_space_group_name_Hall 'C 2y'
loop_
_atom_site_label
_atom_site_type_symbol
_atom_site_fract_x
_atom_site_fract_y
_atom_site_fract_z
_atom_site_occupancy
Sr1 Sr 0.000 0.000 0.000 1
Sr2 Sr 0.000 0.232 0.500 1
Sr3 Sr 0.239 0.236 0.500 1
Sr4 Sr 0.249 0.987 0.001 1
Nd1 Nd 0.000 0.467 0.000 1
Nd2 Nd 0.000 0.736 0.500 1
Ta1 Ta 0.130 0.735 0.999 1
Al1 Al 0.122 0.236 0.001 1
Al2 Al 0.124 0.991 0.502 1
Al3 Al 0.126 0.481 0.498 1
O1 O 0.000 0.236 0.000 1
O2 O 0.000 0.506 0.500 1
O3 O 0.000 0.713 0.000 1
O4 O 0.000 0.989 0.500 1
O5 O 0.116 0.853 0.271 1
O6 O 0.116 0.866 0.754 1
O7 O 0.117 0.360 0.252 1
O8 O 0.117 0.368 0.762 1
O9 O 0.127 0.108 0.244 1
O10 O 0.127 0.115 0.748 1
O11 O 0.128 0.601 0.240 1
O12 O 0.129 0.616 0.724 1
O13 O 0.245 0.246 0.999 1
O14 O 0.249 0.976 0.501 1


No. 8
# Nd3Al12Os4 (meta-GGA SCAN, single point on PBEsol structure)
# **DFT formation energy**: -0.6892 eV/atom
# **Volume**: 17.08 Å³/atom
data_Nd3Al12Os4
_chemical_formula_sum 'Nd6 Al24 Os8'
_cell_length_a 8.8255
_cell_length_b 8.8255
_cell_length_c 9.6221
_cell_angle_alpha 90.00
_cell_angle_beta 90.00
_cell_angle_gamma 120.00
_symmetry_space_group_name_H-M 'P 63/m m c'
_symmetry_Int_Tables_number 194
_symmetry_space_group_name_Hall '-P 6c 2c'
loop_
_atom_site_label
_atom_site_type_symbol
_atom_site_fract_x
_atom_site_fract_y
_atom_site_fract_z
_atom_site_occupancy
Nd1 Nd 0.1921 0.3843 0.2500 1
Al1 Al 0.0000 0.0000 0.2500 1
Al2 Al 0.1238 0.5619 0.7500 1
Al3 Al 0.1632 0.3264 0.5740 1
Al4 Al 0.3333 0.6667 0.0122 1
Os1 Os 0.0000 0.0000 0.0000 1
Os2 Os 0.0000 0.5000 0.0000 1